Here is a relaxed Nd4Dy3Ho5 crystal from Alexandria. Energies are from PBE.

Values from the calculation:
ρ   7.83 Mg/m³
N(E_F)   39.28 states/eV/cell
ΔE_f   228.4 meV per atom

a = 16.113 Å, b = 5.932 Å, c = 9.378 Å
α = 90.00°, β = 116.66°, γ = 90.00°
Space group C2/m (No. 12)
One atom of each set of equivalent atoms:
Nd 0.084 0.000 0.446 [4 per cell]
Nd 0.215 0.000 0.882 [4 per cell]
Dy 0.000 0.500 0.000 [2 per cell]
Dy 0.212 0.000 0.236 [4 per cell]
Ho 0.000 0.000 0.000 [2 per cell]
Ho 0.071 0.500 0.701 [4 per cell]
Ho 0.171 0.500 0.384 [4 per cell]

Here is a relaxed BaTb2Eu crystal from Alexandria. Energies are from PBE.

Values from the calculation:
ρ   6.51 Mg/m³
N(E_F)   17.36 states/eV/cell
ΔE_f   288.0 meV per atom

a = 3.6728 Å, b = 3.6728 Å, c = 39.7450 Å
α = 90.00°, β = 90.00°, γ = 120.00°
Space group R-3m (No. 166, hexagonal axes)
One atom of each set of equivalent atoms:
Ba 0.0000 0.0000 0.0000 [3 per cell]
Tb 0.0000 0.0000 0.0912 [6 per cell]
Eu 0.0000 0.0000 0.5000 [3 per cell]

Here is a relaxed Cs2AgIO crystal from Alexandria. Energies are from PBE.

Values from the calculation:
Formation energy without anion corrections   -94.53 kJ per mole of atoms
ρ   5.03 Mg/m³
Excess energy over the best structure of this formula in the dataset   0 meV per atom

a = 6.379 Å, b = 6.379 Å, c = 4.187 Å
α = 90.00°, β = 90.00°, γ = 90.00°
Space group P4/mmm (No. 123)
One atom of each set of equivalent atoms:
Cs 0.000 0.500 0.000 [2 per cell]
Ag 0.000 0.000 0.500 [1 per cell]
I 0.500 0.500 0.500 [1 per cell]
O 0.000 0.000 0.000 [1 per cell]